(1)
! PBE AcGa3Cu2, optimized geometry; values from VASP
! Crystal system: hexagonal
! Calculated total energy: -3.9417 eV per atom
! Formation energy from the elements: -378 meV/atom
&SYSTEM
  ibrav = 0, nat = 6, ntyp = 3
/
ATOMIC_SPECIES
Ac 227.00 Ac.upf
Ga 69.72 Ga.upf
Cu 63.55 Cu.upf
ATOMIC_POSITIONS angstrom
Ac 0.000 0.000 0.000
Ga -1.392 2.411 2.094
Ga 2.784 0.000 2.094
Ga 1.392 2.411 2.094
Cu 0.000 3.215 0.000
Cu 2.784 1.607 0.000
CELL_PARAMETERS angstrom
5.568 0.000 0.000
-2.784 4.822 0.000
0.000 0.000 4.188

(2)
! PBE Ac5GaCu2, optimized geometry; values from VASP
! Crystal system: tetragonal
! Calculated total energy: -4.1195 eV per atom
! Formation energy from the elements: -149 meV/atom
&SYSTEM
  ibrav = 0, nat = 16, ntyp = 3
/
ATOMIC_SPECIES
Ac 227.00 Ac.upf
Ga 69.72 Ga.upf
Cu 63.55 Cu.upf
ATOMIC_POSITIONS angstrom
Ac 0.000 0.000 0.000
Ac 5.626 1.358 -2.046
Ac 1.358 2.909 -2.046
Ac 5.626 1.358 2.046
Ac 1.358 2.909 2.046
Ac 0.000 0.000 7.067
Ac 2.909 1.358 5.021
Ac -1.358 2.909 5.021
Ac 2.909 1.358 9.113
Ac -1.358 2.909 9.113
Ga 0.000 0.000 3.533
Ga 0.000 0.000 10.600
Cu 3.219 1.048 0.000
Cu 3.219 -1.048 7.067
Cu 1.048 5.316 0.000
Cu 1.048 3.219 7.067
CELL_PARAMETERS angstrom
-4.268 4.268 7.067
4.268 -4.268 7.067
4.268 4.268 -7.067

(3)
! PBE AcGa6Cu2, optimized geometry; values from VASP
! Crystal system: cubic
! Calculated total energy: -3.3222 eV per atom
! Formation energy from the elements: 62 meV/atom
&SYSTEM
  ibrav = 0, nat = 18, ntyp = 3
/
ATOMIC_SPECIES
Ac 227.00 Ac.upf
Ga 69.72 Ga.upf
Cu 63.55 Cu.upf
ATOMIC_POSITIONS angstrom
Ac 1.487 1.487 1.487
Ac 10.407 10.407 10.407
Ga 4.460 4.460 1.747
Ga 4.460 1.747 4.460
Ga 7.173 4.460 4.460
Ga 7.434 7.434 4.721
Ga 7.434 4.721 7.434
Ga 10.146 7.434 7.434
Ga 1.747 4.460 4.460
Ga 4.460 7.173 4.460
Ga 4.460 4.460 7.173
Ga 4.721 7.434 7.434
Ga 7.434 10.146 7.434
Ga 7.434 7.434 10.146
Cu 5.947 2.973 2.973
Cu 2.973 5.947 2.973
Cu 2.973 2.973 5.947
Cu 5.947 5.947 5.947
CELL_PARAMETERS angstrom
0.000 5.947 5.947
5.947 0.000 5.947
5.947 5.947 0.000

(4)
! PBE Ac3GaCu3, optimized geometry; values from VASP
! Excess energy over the best structure of this formula in the dataset: 0.000 eV/atom
! Crystal system: monoclinic
! Calculated total energy: -4.1761 eV per atom
! Formation energy from the elements: -227 meV/atom
&SYSTEM
  ibrav = 0, nat = 14, ntyp = 3
/
ATOMIC_SPECIES
Ac 227.00 Ac.upf
Ga 69.72 Ga.upf
Cu 63.55 Cu.upf
ATOMIC_POSITIONS angstrom
Ac -1.624 0.000 5.657
Ac -3.621 0.000 13.425
Ac 1.575 0.000 3.401
Ac 4.475 0.000 11.190
Ac 9.671 0.000 1.167
Ac 7.675 0.000 8.934
Ga -0.310 0.000 8.706
Ga 6.360 0.000 5.886
Cu 1.700 0.000 6.701
Cu -0.259 0.000 13.453
Cu 1.089 0.000 11.178
Cu 4.962 0.000 3.414
Cu 6.309 0.000 1.139
Cu 4.350 0.000 7.890
CELL_PARAMETERS angstrom
5.646 -2.217 0.000
5.646 2.217 0.000
-5.242 0.000 14.591

(5)
! PBE AcGa4Cu, optimized geometry; values from VASP
! Crystal system: tetragonal
! Calculated total energy: -3.5953 eV per atom
! Formation energy from the elements: -210 meV/atom
&SYSTEM
  ibrav = 0, nat = 6, ntyp = 3
/
ATOMIC_SPECIES
Ac 227.00 Ac.upf
Ga 69.72 Ga.upf
Cu 63.55 Cu.upf
ATOMIC_POSITIONS angstrom
Ac 0.000 0.000 0.000
Ga 0.000 2.392 2.886
Ga 2.392 0.000 2.886
Ga 2.392 2.392 1.298
Ga 2.392 2.392 4.474
Cu 0.000 0.000 2.886
CELL_PARAMETERS angstrom
4.784 0.000 0.000
0.000 4.784 0.000
0.000 0.000 5.773

(6)
! PBE AcGaCu2, optimized geometry; values from VASP
! Crystal system: orthorhombic
! Calculated total energy: -4.0960 eV per atom
! Formation energy from the elements: -264 meV/atom
&SYSTEM
  ibrav = 0, nat = 16, ntyp = 3
/
ATOMIC_SPECIES
Ac 227.00 Ac.upf
Ga 69.72 Ga.upf
Cu 63.55 Cu.upf
ATOMIC_POSITIONS angstrom
Ac 0.413 1.652 0.915
Ac 3.816 4.956 3.852
Ac 4.641 1.652 2.021
Ac 8.044 4.956 4.958
Ga 0.992 4.956 2.066
Ga 3.236 1.652 5.002
Ga 5.221 4.956 0.871
Ga 7.465 1.652 3.807
Cu 1.516 0.416 3.564
Cu 1.516 2.888 3.564
Cu 2.713 3.719 0.627
Cu 2.713 6.192 0.627
Cu 5.744 0.416 5.246
Cu 5.744 2.888 5.246
Cu 6.941 3.719 2.309
Cu 6.941 6.192 2.309
CELL_PARAMETERS angstrom
8.457 0.000 0.000
0.000 6.607 0.000
0.000 0.000 5.873

(7)
! PBE Ac3Ga2Cu4, optimized geometry; values from VASP
! Crystal system: monoclinic
! Calculated total energy: -4.1753 eV per atom
! Formation energy from the elements: -313 meV/atom
&SYSTEM
  ibrav = 0, nat = 9, ntyp = 3
/
ATOMIC_SPECIES
Ac 227.00 Ac.upf
Ga 69.72 Ga.upf
Cu 63.55 Cu.upf
ATOMIC_POSITIONS angstrom
Ac 0.000 0.000 0.000
Ac 3.140 0.000 2.796
Ac 6.127 0.000 5.725
Ga 2.834 0.000 6.116
Ga 6.433 0.000 2.405
Cu -0.202 0.000 3.354
Cu 1.099 0.000 8.038
Cu 8.168 0.000 0.483
Cu 9.469 0.000 5.167
CELL_PARAMETERS angstrom
5.756 -2.202 0.000
5.756 2.202 0.000
-2.244 0.000 8.521

(8)
! PBE AcGaCu, optimized geometry; values from VASP
! Excess energy over the best structure of this formula in the dataset: 0.002 eV/atom
! Crystal system: hexagonal
! Calculated total energy: -4.1265 eV per atom
! Formation energy from the elements: -383 meV/atom
&SYSTEM
  ibrav = 0, nat = 3, ntyp = 3
/
ATOMIC_SPECIES
Ac 227.00 Ac.upf
Ga 69.72 Ga.upf
Cu 63.55 Cu.upf
ATOMIC_POSITIONS angstrom
Ac 0.000 0.000 0.000
Ga 2.248 1.298 2.109
Cu 0.000 2.596 2.109
CELL_PARAMETERS angstrom
4.496 0.000 0.000
-2.248 3.894 0.000
0.000 0.000 4.218